No. 1
! AlAsN2F | Alexandria via LeMat-Bulk | GGA-PBE | relaxed; values from VASP
! **Space-group type**: P4/mmm
! **Formation energy (no corrections)**: 227 kJ/mol of formula units
! **Calculated volume**: 58.0 Å³ per cell
! **DOS(E_F)**: 1.78 states/eV/cell
! **Raw total energy**: -4.912 eV per atom
&SYSTEM
  ibrav = 0, nat = 5, ntyp = 4
/
ATOMIC_SPECIES
As 74.92 As.upf
N 14.01 N.upf
Al 26.98 Al.upf
F 19.00 F.upf
ATOMIC_POSITIONS crystal
As 0.0000 0.0000 0.0000
N 0.0000 0.5000 0.0000
N 0.5000 0.0000 0.0000
Al 0.5000 0.5000 0.5000
F 0.0000 0.0000 0.5000
CELL_PARAMETERS angstrom
-0.2890 -0.9979 3.7437
-3.0824 -2.2152 -0.8284
2.3210 -2.9978 -0.6199

No. 2
! AlAsN2F | Alexandria via LeMat-Bulk | GGA-PBE | relaxed; values from VASP
! **Space-group type**: P4/mmm
! **Formation energy (no corrections)**: -77 kJ/mol of formula units
! **Calculated volume**: 53.8 Å³ per cell
! **DOS(E_F)**: 1.84 states/eV/cell
! **Raw total energy**: -5.543 eV per atom
&SYSTEM
  ibrav = 0, nat = 5, ntyp = 4
/
ATOMIC_SPECIES
As 74.92 As.upf
N 14.01 N.upf
Al 26.98 Al.upf
F 19.00 F.upf
ATOMIC_POSITIONS crystal
As 0.5000 0.5000 0.5000
N 0.0000 0.5000 0.0000
N 0.5000 0.0000 0.0000
Al 0.0000 0.0000 0.0000
F 0.0000 0.0000 0.5000
CELL_PARAMETERS angstrom
3.8959 0.0000 0.0000
0.0000 3.8959 0.0000
0.0000 0.0000 3.5450

no.,distance to the lowest polymorph of the same formula (eV per formula unit)
1,3.15
2,0.00